[1]
First-principles (GGA-PBE) data for Y2MgTaCu after structural relaxation, as listed in the Alexandria database.

Computed properties:
* calculated total energy: -4.9632 eV/atom
* SG: P4/mmm

Unit cell a=5.501 b=5.501 c=4.345 alpha=90.00 beta=90.00 gamma=90.00
Fractional coordinates of all 5 atoms:
1 Y 0.000 0.500 0.000
2 Y 0.500 0.000 0.000
3 Mg 0.000 0.000 0.000
4 Ta 0.500 0.500 0.500
5 Cu 0.000 0.000 0.500

=====

[2]
First-principles (GGA-PBE) data for Ho4PbSe2S after structural relaxation, as listed in the Alexandria database.

Computed properties:
* calculated total energy: -5.5800 eV/atom
* SG: P2/m

Unit cell a=7.147 b=4.117 c=7.151 alpha=90.00 beta=109.43 gamma=90.00
Fractional coordinates of all 8 atoms:
1 Ho 0.242 0.000 0.233
2 Ho 0.256 0.500 0.766
3 Ho 0.744 0.500 0.234
4 Ho 0.758 0.000 0.767
5 Pb 0.000 0.000 0.500
6 Se 0.500 0.000 0.000
7 Se 0.500 0.500 0.500
8 S 0.000 0.500 0.000

=====

[3]
First-principles (GGA-PBE) data for ZrAg2Sb after structural relaxation, as listed in the Alexandria database.

Computed properties:
* calculated total energy: -4.8166 eV/atom
* SG: P4/mmm

Unit cell a=4.166 b=4.166 c=4.716 alpha=90.00 beta=90.00 gamma=90.00
Fractional coordinates of all 4 atoms:
1 Zr 0.000 0.000 0.000
2 Ag 0.000 0.500 0.500
3 Ag 0.500 0.000 0.500
4 Sb 0.500 0.500 0.000

=====

[4]
First-principles (GGA-PBE) data for Er12Th5Hg3 after structural relaxation, as listed in the Alexandria database.

Computed properties:
* calculated total energy: -3.6792 eV/atom
* SG: Ia-3d

Unit cell a=15.678 b=15.678 c=15.678 alpha=109.47 beta=109.47 gamma=109.47
Fractional coordinates of all 80 atoms:
1 Er 0.066 0.645 0.410
2 Er 0.066 0.921 0.656
3 Er 0.079 0.235 0.145
4 Er 0.079 0.344 0.934
5 Er 0.090 0.735 0.656
6 Er 0.090 0.855 0.434
7 Er 0.145 0.079 0.235
8 Er 0.145 0.566 0.910
9 Er 0.156 0.235 0.590
10 Er 0.156 0.421 0.566
11 Er 0.235 0.145 0.079
12 Er 0.235 0.590 0.156
13 Er 0.265 0.344 0.910
14 Er 0.265 0.421 0.355
15 Er 0.344 0.910 0.265
16 Er 0.344 0.934 0.079
17 Er 0.355 0.265 0.421
18 Er 0.355 0.590 0.934
19 Er 0.410 0.066 0.645
20 Er 0.410 0.844 0.765
21 Er 0.421 0.355 0.265
22 Er 0.421 0.566 0.156
23 Er 0.434 0.090 0.855
24 Er 0.434 0.844 0.579
25 Er 0.566 0.156 0.421
26 Er 0.566 0.910 0.145
27 Er 0.579 0.434 0.844
28 Er 0.579 0.645 0.735
29 Er 0.590 0.156 0.235
30 Er 0.590 0.934 0.355
31 Er 0.645 0.410 0.066
32 Er 0.645 0.735 0.579
33 Er 0.656 0.066 0.921
34 Er 0.656 0.090 0.735
35 Er 0.735 0.579 0.645
36 Er 0.735 0.656 0.090
37 Er 0.765 0.410 0.844
38 Er 0.765 0.855 0.921
39 Er 0.844 0.579 0.434
40 Er 0.844 0.765 0.410
41 Er 0.855 0.434 0.090
42 Er 0.855 0.921 0.765
43 Er 0.910 0.145 0.566
44 Er 0.910 0.265 0.344
45 Er 0.921 0.656 0.066
46 Er 0.921 0.765 0.855
47 Er 0.934 0.079 0.344
48 Er 0.934 0.355 0.590
49 Th 0.000 0.000 0.000
50 Th 0.000 0.000 0.500
51 Th 0.000 0.500 0.000
52 Th 0.000 0.500 0.500
53 Th 0.125 0.750 0.875
54 Th 0.125 0.875 0.250
55 Th 0.250 0.125 0.875
56 Th 0.250 0.625 0.375
57 Th 0.375 0.250 0.625
58 Th 0.375 0.625 0.750
59 Th 0.500 0.000 0.000
60 Th 0.500 0.000 0.500
61 Th 0.500 0.500 0.000
62 Th 0.500 0.500 0.500
63 Th 0.625 0.375 0.250
64 Th 0.625 0.750 0.375
65 Th 0.750 0.375 0.625
66 Th 0.750 0.875 0.125
67 Th 0.875 0.125 0.750
68 Th 0.875 0.250 0.125
69 Hg 0.125 0.250 0.375
70 Hg 0.125 0.375 0.750
71 Hg 0.250 0.375 0.125
72 Hg 0.250 0.875 0.625
73 Hg 0.375 0.125 0.250
74 Hg 0.375 0.750 0.125
75 Hg 0.625 0.250 0.875
76 Hg 0.625 0.875 0.750
77 Hg 0.750 0.125 0.375
78 Hg 0.750 0.625 0.875
79 Hg 0.875 0.625 0.250
80 Hg 0.875 0.750 0.625